P:
HoBiNO: relaxed, GGA-PBE.

Calculated values
Size of the total moment = 0.003 μB/f.u.
Theoretical density = 9.19 g/cm3

a b c (Å): 6.9307 7.5477 5.5818
angles (deg): 90.00 90.00 90.00
Last column: nearest neighbours and their distance in Å.
Space group Pca2_1 (No. 29)
Symmetry-distinct sites (fractional):
Ho (0.0959, 0.1347, 0.0000) [4 per cell]  1 O 2.19, 3 N 2.24-2.29
Bi (0.1228, 0.6679, 0.0282) [4 per cell]  2 O 2.31-2.34, 1 N 2.31
N (0.0922, 0.1030, 0.5927) [4 per cell]  3 Ho 2.24-2.29, 1 Bi 2.31
O (0.0365, 0.3913, 0.1676) [4 per cell]  1 Ho 2.19, 2 Bi 2.31-2.34

Q:
HoBiNO: relaxed, GGA-PBE.

Calculated values
Size of the total moment = 0.001 μB/f.u.
Theoretical density = 8.48 g/cm3

a b c (Å): 4.5044 4.5044 7.7992
angles (deg): 90.00 90.00 90.00
Last column: nearest neighbours and their distance in Å.
Space group P4/nmm (No. 129, origin choice 2)
Symmetry-distinct sites (fractional):
Ho (0.2500, 0.2500, 0.0865) [2 per cell]  1 N 2.18, 4 O 2.35
Bi (0.2500, 0.7500, 0.5000) [2 per cell]  4 N 2.48
N (0.2500, 0.2500, 0.3661) [2 per cell]  1 Ho 2.18
O (0.2500, 0.7500, 0.0000) [2 per cell]  4 Ho 2.35

Most stable structure: Q